Record 1
Cs2ScBr GGA-PBE optimized geometry; formation energy (no corrections) = -0.040 eV/atom; symmetry = I-42d
1.0
10.391 0.000 0.000
0.000 10.391 0.000
5.195 5.195 4.562
Cs Br Sc
4 2 2
Cartesian
8.398 2.598 1.140
7.793 7.188 3.421
12.989 13.594 3.421
1.993 7.793 1.140
10.391 5.195 2.281
0.000 0.000 0.000
5.195 5.195 0.000
5.195 10.391 2.281

Record 2
Na2GaSe2 GGA-PBE optimized geometry; formation energy (no corrections) = -0.816 eV/atom; energy above the most stable polymorph in this dataset = 0.000 eV/atom; symmetry = Cmc2_1
1.0
-1.302 3.167 -3.402
-5.985 0.768 3.005
3.536 4.190 5.972
Se Na Ga
4 4 2
Cartesian
-2.073 2.197 2.839
-4.645 6.309 4.226
-0.116 5.377 5.050
-5.910 3.040 1.668
-1.493 5.326 2.105
-2.152 7.689 4.558
-1.177 0.381 0.806
-4.363 3.069 4.527
1.980 4.672 3.592
-3.405 3.154 0.815

Record 3
EuPb3 GGA-PBE optimized geometry; ΔH_f (0 K) = -0.2680 eV per atom; symmetry = Imm2
1.0
3.687 0.000 0.000
0.000 5.899 0.000
-1.844 -2.949 5.731
Pb Eu
3 1
Cartesian
1.844 2.905 0.000
1.844 -0.939 2.932
0.000 2.010 2.800
0.000 5.855 0.000

Record 4
ErHfSb2O GGA-PBE optimized geometry; formation energy (no corrections) = -1.433 eV/atom; symmetry = P4/nmm
1.0
-1.042 2.587 2.734
-3.668 -1.337 -0.132
3.451 -10.588 11.334
Sb Er Hf O
4 2 2 2
Cartesian
0.510 -1.870 4.753
-1.573 -1.468 0.790
2.670 -8.495 11.845
0.586 -8.093 7.882
1.437 -4.713 7.798
-0.341 -5.249 4.837
-0.103 0.011 2.740
1.199 -9.974 9.895
-0.629 -4.669 6.968
1.726 -5.294 5.667

no.,DFT total energy (eV per atom)
1,-2.47
2,-3.34
3,-5.62
4,-6.98